Density functional theory data (PBE-GGA) for ErMg4 after structural relaxation.

Cell lengths 5.890, 5.890, 5.890 Å; angles 90.00, 90.00, 90.00 degrees
Sites, in units of the cell vectors:
Er 0.000 0.000 0.000
Mg 0.000 0.000 0.500
Mg 0.000 0.500 0.000
Mg 0.500 0.000 0.000
Mg 0.500 0.500 0.500

Properties
- energy (eV per cell) = -5.875
- symmetry = No. 221
- density of states at the Fermi level (states/eV per atom) = 1.212



Density functional theory data (PBE-GGA) for Er2Mg after structural relaxation.

Cell lengths 8.722, 8.722, 5.422 Å; angles 90.00, 90.00, 155.93 degrees
Sites, in units of the cell vectors:
Er 0.094 0.906 0.750
Er 0.227 0.773 0.250
Er 0.773 0.227 0.750
Er 0.906 0.094 0.250
Mg 0.435 0.565 0.750
Mg 0.565 0.435 0.250

Properties
- energy (eV per cell) = -21.799
- symmetry = No. 63
- density of states at the Fermi level (states/eV per atom) = 1.110



Density functional theory data (PBE-GGA) for ErMg2 after structural relaxation.

Cell lengths 7.060, 7.060, 7.060 Å; angles 152.12, 152.12, 39.84 degrees
Sites, in units of the cell vectors:
Er 0.000 0.000 0.000
Mg 0.326 0.326 0.000
Mg 0.674 0.674 0.000

Properties
- energy (eV per cell) = -7.865
- symmetry = No. 139
- density of states at the Fermi level (states/eV per atom) = 1.031



The energy relative to the elements results, record by record, are as follows: 1013, -60, -38 meV/atom.